Tb2CeTh3S6: relaxed, PBE-GGA.

Total magnetic moment ... 0.04 μB/cell
Symmetry ... C2/m
Electronic total energy ... -85.34 eV/cell
Uncorrected formation energy ... -1.93 eV/atom
V ... 271.3 Å³ per cell

Cell lengths 6.869, 6.869, 7.018 Å; angles 99.39, 99.39, 119.95 degrees
Element x y z (fractional)
1 Tb 0.166 0.834 0.000
2 Tb 0.834 0.166 0.000
3 Ce 0.500 0.500 0.000
4 Th 0.000 0.000 0.500
5 Th 0.335 0.665 0.500
6 Th 0.665 0.335 0.500
7 S 0.082 0.420 0.760
8 S 0.241 0.241 0.238
9 S 0.420 0.082 0.760
10 S 0.580 0.918 0.240
11 S 0.759 0.759 0.762
12 S 0.918 0.580 0.240